The following is a DFT calculation (GGA-PBE) of LiMg2BiB after structural relaxation.

abc: 4.618 4.614 4.618
angles: 90.00 90.00 90.00
Fractional coordinates of all 5 atoms:
Mg 0.000 0.000 0.500
Mg 0.500 0.000 0.000
B 0.000 0.000 0.000
Bi 0.500 0.500 0.500
Li 0.000 0.500 0.000

## Properties
- E (eV per atom) = -2.95
- volume (Å³/atom) = 19.68
- symmetry = P4/mmm